A plane-wave DFT calculation with PBE-GGA was carried out for MgSiSnHS after structural relaxation.

Values from the calculation:
Total moment, Bohr magnetons per cell: 0.0
Density of states at the Fermi level, states/eV/cell: 0.600
V, Å³/cell: 103.9
Energy above the lowest structure with this stoichiometry, meV/atom: 53

Unit cell a=4.006 b=4.095 c=7.079 alpha=87.88 beta=88.59 gamma=63.54
Sites, in units of the cell vectors:
Mg  0.241  0.452  0.604
Si  0.520  0.566  0.261
Sn  0.878  0.947  0.091
H  0.761  0.675  0.394
S  0.906  0.094  0.723